# Mn2GaB2 (PBE-GGA, relaxed)
# - total moment (μB/f.u.) = 0.9
data_Mn2GaB2
_chemical_formula_sum 'Mn4 Ga2 B4'
_cell_length_a 5.627
_cell_length_b 5.627
_cell_length_c 2.849
_cell_angle_alpha 90.00
_cell_angle_beta 90.00
_cell_angle_gamma 90.00
_symmetry_space_group_name_H-M 'P 4/m b m'
_symmetry_Int_Tables_number 127
_symmetry_space_group_name_Hall '-P 4 2ab'
loop_
_atom_site_label
_atom_site_fract_x
_atom_site_fract_y
_atom_site_fract_z
Mn1 0.170 0.330 0.000
Ga1 0.000 0.000 0.500
B1 0.112 0.612 0.500


# MnGa2B (PBE-GGA, relaxed)
# - total moment (μB/f.u.) = 0.1
data_MnGa2B
_chemical_formula_sum 'Mn4 Ga8 B4'
_cell_length_a 7.382
_cell_length_b 7.382
_cell_length_c 4.076
_cell_angle_alpha 90.00
_cell_angle_beta 90.00
_cell_angle_gamma 90.00
_symmetry_space_group_name_H-M 'I -4 2 d'
_symmetry_Int_Tables_number 122
_symmetry_space_group_name_Hall 'I -4 2bw'
loop_
_atom_site_label
_atom_site_fract_x
_atom_site_fract_y
_atom_site_fract_z
Mn1 0.000 0.000 0.000
Ga1 0.135 0.250 0.625
B1 0.000 0.000 0.500


The records above give, respectively, DFT formation energy values of -211; 516 meV per atom.
The records above give, respectively, calculated volume values of 9.02; 13.88 Å³/atom.